Density functional theory data (PBE) for a relaxed PmTm2Ni9 crystal.

Cell: 4.9746 4.9746 24.1873 Å, 90.00 90.00 120.00°
Last column: nearest neighbours and their distance in Å.
Space group R-3m (No. 166, hexagonal axes)
Inequivalent atoms, fractional coordinates:
Pm 0.0000 0.0000 0.0000  18 Ni 2.87-3.20
Tm 0.0000 0.0000 0.1400  12 Ni 2.84-3.01, 3 Tm 3.15
Ni 0.0000 0.0000 0.3331  6 Ni 2.47-2.49
Ni 0.0000 0.0000 0.5000  6 Ni 2.48
Ni 0.0018 0.5009 0.9165  7 Ni 2.47-2.50

Results
D(E_F) = 15.7 states/eV/f.u.
Calculated formation energy = -0.420 eV per atom



Density functional theory data (PBE) for a relaxed Pm3TmNi8 crystal.

Cell: 5.1120 5.1120 25.1237 Å, 90.00 90.00 120.00°
Last column: nearest neighbours and their distance in Å.
Space group R3m (No. 160, hexagonal axes)
Inequivalent atoms, fractional coordinates:
Pm 0.0000 0.0000 0.0000  12 Ni 3.00-3.04, 4 Pm 3.14-3.15
Pm 0.0000 0.0000 0.1253  12 Ni 2.96-3.00, 3 Tm 3.13, 1 Pm 3.15
Pm 0.0000 0.0000 0.6240  12 Ni 3.00-3.05, 1 Tm 3.13, 3 Pm 3.14
Tm 0.0000 0.0000 0.4996  12 Ni 2.97-3.00, 4 Pm 3.13
Ni 0.0000 0.0000 0.3122  6 Ni 2.58-2.59
Ni 0.0000 0.0000 0.8126  6 Ni 2.53-2.55
Ni 0.9998 0.4999 0.5609  6 Ni 2.53-2.59
Ni 0.0027 0.5013 0.0634  6 Ni 2.54-2.58

Results
D(E_F) = 7.3 states/eV/f.u.
Calculated formation energy = -0.379 eV per atom



Density functional theory data (PBE) for a relaxed PmTmNi2 crystal.

Cell: 3.4019 3.4019 6.7720 Å, 90.00 90.00 90.00°
Last column: nearest neighbours and their distance in Å.
Space group P4/mmm (No. 123)
Inequivalent atoms, fractional coordinates:
Pm 0.0000 0.0000 0.0000  8 Ni 3.02
Tm 0.0000 0.0000 0.5000  8 Ni 2.87
Ni 0.5000 0.5000 0.2702  4 Tm 2.87, 4 Pm 3.02, 1 Ni 3.11

Results
Energy relative to the lowest polymorph listed for this composition = 7.0 kJ/mol of atoms
D(E_F) = 4.2 states/eV/f.u.
Calculated formation energy = -0.345 eV per atom



Density functional theory data (PBE) for a relaxed PmTmNi10 crystal.

Cell: 3.9598 4.8948 8.4716 Å, 90.00 90.00 90.00°
Last column: nearest neighbours and their distance in Å.
Space group Pmmm (No. 47)
Inequivalent atoms, fractional coordinates:
Pm 0.0000 0.0000 0.0000  18 Ni 2.85-3.17
Tm 0.0000 0.5000 0.5000  6 Ni 2.78-2.81
Ni 0.0000 0.0000 0.3376  6 Ni 2.41-2.44
Ni 0.0000 0.5000 0.1714  6 Ni 2.42-2.46
Ni 0.5000 0.0000 0.5000  8 Ni 2.41-2.42
Ni 0.5000 0.2523 0.2541  8 Ni 2.42-2.47
Ni 0.5000 0.5000 0.0000  8 Ni 2.46-2.47

Results
D(E_F) = 13.8 states/eV/f.u.
Calculated formation energy = -0.314 eV per atom



Density functional theory data (PBE) for a relaxed PmTm4Ni5 crystal.

Cell: 3.3367 3.3367 16.9423 Å, 90.00 90.00 90.00°
Last column: nearest neighbours and their distance in Å.
Space group P4/mmm (No. 123)
Inequivalent atoms, fractional coordinates:
Pm 0.0000 0.0000 0.0000  8 Ni 3.01, 4 Pm 3.34
Tm 0.0000 0.0000 0.2053  8 Ni 2.85-2.89
Tm 0.0000 0.0000 0.4019  8 Ni 2.89
Ni 0.5000 0.5000 0.1106  4 Tm 2.85, 4 Pm 3.01
Ni 0.5000 0.5000 0.3037  8 Tm 2.89
Ni 0.5000 0.5000 0.5000  8 Tm 2.89

Results
D(E_F) = 8.8 states/eV/f.u.
Calculated formation energy = -0.408 eV per atom



Density functional theory data (PBE) for a relaxed PmTm2Ni9 crystal.

Cell: 4.9744 4.9744 16.1022 Å, 90.00 90.00 120.00°
Last column: nearest neighbours and their distance in Å.
Space group P6_3/mmc (No. 194)
Inequivalent atoms, fractional coordinates:
Pm 0.3333 0.6667 0.2500  18 Ni 2.87-3.20
Tm 0.3333 0.6667 0.0402  12 Ni 2.84-3.01, 3 Tm 3.15
Ni 0.0000 0.0000 0.0000  6 Ni 2.47
Ni 0.0000 0.0000 0.2500  6 Ni 2.48
Ni 0.1676 0.3351 0.6247  7 Ni 2.47-2.50
Ni 0.3333 0.6667 0.7500  6 Ni 2.47

Results
D(E_F) = 15.9 states/eV/f.u.
Calculated formation energy = -0.421 eV per atom



Density functional theory data (PBE) for a relaxed Pm2TmZn12Ni3 crystal.

Cell: 7.0579 7.0579 25.2967 Å, 90.00 90.00 120.00°
Last column: nearest neighbours and their distance in Å.
Space group R-3m (No. 166, hexagonal axes)
Inequivalent atoms, fractional coordinates:
Pm 0.0000 0.0000 0.1294  6 Zn 3.03
Tm 0.0000 0.0000 0.5000  12 Zn 3.10-3.32
Zn 0.0538 0.5269 0.2791  2 Ni 2.34, 2 Zn 2.55
Zn 0.0911 0.5455 0.9007  4 Zn 2.55-2.56, 1 Ni 2.57
Ni 0.0000 0.5000 0.0000  6 Zn 2.34-2.57

Results
D(E_F) = 11.3 states/eV/f.u.
Calculated formation energy = 0.083 eV per atom



Density functional theory data (PBE) for a relaxed PmUNi10 crystal.

Cell: 3.9875 4.8787 8.4175 Å, 90.00 90.00 90.00°
Last column: nearest neighbours and their distance in Å.
Space group Pmmm (No. 47)
Inequivalent atoms, fractional coordinates:
Pm 0.0000 0.0000 0.0000  18 Ni 2.87-3.19
U 0.0000 0.5000 0.5000  6 Ni 2.68-2.78
Ni 0.0000 0.0000 0.3406  7 Ni 2.40-2.68
Ni 0.0000 0.5000 0.1814  6 Ni 2.41-2.51, 1 U 2.68
Ni 0.5000 0.0000 0.5000  8 Ni 2.39-2.40
Ni 0.5000 0.2544 0.2567  8 Ni 2.39-2.48
Ni 0.5000 0.5000 0.0000  8 Ni 2.47-2.51

Results
D(E_F) = 16.0 states/eV/f.u.
Calculated formation energy = -0.261 eV per atom



Density functional theory data (PBE) for a relaxed Pm2U2Ni15 crystal.

Cell: 8.4864 8.4864 12.7509 Å, 90.00 90.00 120.00°
Last column: nearest neighbours and their distance in Å.
Space group R-3m (No. 166, hexagonal axes)
Inequivalent atoms, fractional coordinates:
Pm 0.0000 0.0000 0.1432  12 Ni 2.94-3.12
U 0.0000 0.0000 0.4025  1 U 2.49, 6 Ni 2.60-2.64
Ni 0.0000 0.3107 0.5000  8 Ni 2.51-2.64
Ni 0.0000 0.5000 0.0000  8 Ni 2.45-2.51, 2 U 2.60
Ni 0.9999 0.4999 0.3417  8 Ni 2.45-2.60, 1 U 2.64

Results
D(E_F) = 24.9 states/eV/f.u.
Calculated formation energy = -0.239 eV per atom



Density functional theory data (PBE) for a relaxed PmU2Ni9 crystal.

Cell: 4.8998 4.8998 24.5856 Å, 90.00 90.00 120.00°
Last column: nearest neighbours and their distance in Å.
Space group R-3m (No. 166, hexagonal axes)
Inequivalent atoms, fractional coordinates:
Pm 0.0000 0.0000 0.0000  6 Ni 2.83
U 0.0000 0.0000 0.1419  12 Ni 2.84-3.00, 3 U 3.08
Ni 0.0000 0.0000 0.3330  6 Ni 2.49-2.51
Ni 0.0000 0.0000 0.5000  6 Ni 2.48
Ni 0.0006 0.5003 0.9162  7 Ni 2.45-2.51

Results
D(E_F) = 14.9 states/eV/f.u.
Calculated formation energy = -0.288 eV per atom



Density functional theory data (PBE) for a relaxed PmUNi crystal.

Cell: 3.0677 5.6780 15.2781 Å, 90.00 90.00 90.00°
Last column: nearest neighbours and their distance in Å.
Space group Immm (No. 71)
Inequivalent atoms, fractional coordinates:
Pm 0.0000 0.0000 0.1795  1 Ni 2.89, 2 Pm 3.07
U 0.0000 0.2851 0.5000  1 U 2.44, 2 Ni 2.58
Ni 0.0000 0.0000 0.3686  2 U 2.58

Results
D(E_F) = 4.3 states/eV/f.u.
Calculated formation energy = 0.232 eV per atom



Density functional theory data (PBE) for a relaxed PmUNi4 crystal.

Cell: 7.1783 7.1783 7.1783 Å, 90.00 90.00 90.00°
Last column: nearest neighbours and their distance in Å.
Space group F-43m (No. 216)
Inequivalent atoms, fractional coordinates:
Pm 0.0000 0.0000 0.0000  12 Ni 2.98, 4 U 3.11
U 0.2500 0.2500 0.2500  12 Ni 2.97, 4 Pm 3.11
Ni 0.1239 0.1239 0.6239  6 Ni 2.52-2.56

Results
D(E_F) = 9.1 states/eV/f.u.
Calculated formation energy = -0.189 eV per atom



Density functional theory data (PBE) for a relaxed Pm2UNi9 crystal.

Cell: 4.9494 4.9494 24.8608 Å, 90.00 90.00 120.00°
Last column: nearest neighbours and their distance in Å.
Space group R-3m (No. 166, hexagonal axes)
Inequivalent atoms, fractional coordinates:
Pm 0.0000 0.0000 0.1384  12 Ni 2.87-3.19, 3 Pm 3.18
U 0.0000 0.0000 0.0000  18 Ni 2.86-3.18
Ni 0.0000 0.0000 0.3330  6 Ni 2.45-2.46
Ni 0.0000 0.0000 0.5000  6 Ni 2.58
Ni 0.0007 0.5003 0.0802  7 Ni 2.45-2.58

Results
D(E_F) = 15.6 states/eV/f.u.
Calculated formation energy = -0.271 eV per atom



Density functional theory data (PBE) for a relaxed PmUNi2 crystal.

Cell: 3.3695 3.3695 6.9030 Å, 90.00 90.00 90.00°
Last column: nearest neighbours and their distance in Å.
Space group P4/mmm (No. 123)
Inequivalent atoms, fractional coordinates:
Pm 0.0000 0.0000 0.0000  8 Ni 3.16, 4 Pm 3.37, 2 U 3.45
U 0.0000 0.0000 0.5000  8 Ni 2.75
Ni 0.5000 0.5000 0.3008  1 Ni 2.75, 4 U 2.75

Results
D(E_F) = 6.6 states/eV/f.u.
Calculated formation energy = -0.086 eV per atom



Density functional theory data (PBE) for a relaxed PmVNi crystal.

Cell: 3.7587 3.7587 8.1538 Å, 90.00 90.00 90.00°
Last column: nearest neighbours and their distance in Å.
Space group P4/nmm (No. 129, origin choice 2)
Inequivalent atoms, fractional coordinates:
Pm 0.2500 0.2500 0.1676  4 Ni 2.85
V 0.2500 0.7500 0.5000  4 Ni 2.53, 4 V 2.66
Ni 0.2500 0.2500 0.7078  4 V 2.53

Results
D(E_F) = 4.3 states/eV/f.u.
Calculated formation energy = -0.009 eV per atom



Density functional theory data (PBE) for a relaxed PmVNi4 crystal.

Cell: 7.0064 7.0064 7.0064 Å, 90.00 90.00 90.00°
Last column: nearest neighbours and their distance in Å.
Space group F-43m (No. 216)
Inequivalent atoms, fractional coordinates:
Pm 0.0000 0.0000 0.0000  12 Ni 2.91, 4 V 3.03
V 0.2500 0.2500 0.7500  12 Ni 2.90, 4 Pm 3.03
Ni 0.1233 0.1233 0.3767  6 Ni 2.44-2.51

Results
D(E_F) = 10.0 states/eV/f.u.
Calculated formation energy = -0.096 eV per atom



Density functional theory data (PBE) for a relaxed PmVNi2 crystal.

Cell: 4.0944 4.0944 14.7478 Å, 90.00 90.00 120.00°
Last column: nearest neighbours and their distance in Å.
Space group R-3m (No. 166, hexagonal axes)
Inequivalent atoms, fractional coordinates:
Pm 0.0000 0.0000 0.0000  8 Ni 2.91-3.10
V 0.0000 0.0000 0.5000  6 Ni 2.41
Ni 0.0000 0.0000 0.1973  3 V 2.41, 3 Ni 2.53

Results
Energy relative to the lowest polymorph listed for this composition = 0.0 kJ/mol of atoms
D(E_F) = 3.0 states/eV/f.u.
Calculated formation energy = -0.189 eV per atom



Density functional theory data (PBE) for a relaxed PmVNi2 crystal.

Cell: 3.0724 3.0724 6.8118 Å, 90.00 90.00 90.00°
Last column: nearest neighbours and their distance in Å.
Space group P4/mmm (No. 123)
Inequivalent atoms, fractional coordinates:
Pm 0.0000 0.0000 0.0000  8 Ni 3.07, 4 Pm 3.07, 2 V 3.41
V 0.0000 0.0000 0.5000  8 Ni 2.50
Ni 0.5000 0.5000 0.3189  1 Ni 2.47, 4 V 2.50

Results
Energy relative to the lowest polymorph listed for this composition = 12.8 kJ/mol of atoms
D(E_F) = 4.7 states/eV/f.u.
Calculated formation energy = -0.057 eV per atom



Density functional theory data (PBE) for a relaxed PmY6Ni3 crystal.

Cell: 11.0588 13.1027 7.1014 Å, 90.00 90.00 90.00°
Last column: nearest neighbours and their distance in Å.
Space group Cmc2_1 (No. 36)
Inequivalent atoms, fractional coordinates:
Pm 0.0000 0.1812 0.0000  1 Ni 2.68
Y 0.0000 0.2738 0.5408  3 Ni 2.68
Y 0.0000 0.4691 0.8877  4 Ni 3.14-3.17
Y 0.1680 0.0378 0.3794  4 Ni 2.68-2.88
Y 0.2262 0.3084 0.2317  2 Ni 2.85-2.95
Ni 0.0000 0.0816 0.6705  1 Pm 2.68, 5 Y 2.68-2.85
Ni 0.1936 0.3937 0.5966  5 Y 2.68-2.95

Results
D(E_F) = 10.1 states/eV/f.u.
Calculated formation energy = -0.214 eV per atom



Density functional theory data (PBE) for a relaxed PmYNi crystal.

Cell: 4.5436 4.5436 4.2347 Å, 90.00 90.00 120.00°
Last column: nearest neighbours and their distance in Å.
Space group P3m1 (No. 156)
Inequivalent atoms, fractional coordinates:
Pm 0.0000 0.0000 0.0000  3 Ni 2.90
Y 0.3333 0.6667 0.4863  3 Ni 2.78
Ni 0.6667 0.3333 0.7058  3 Y 2.78, 3 Pm 2.90

Results
Energy relative to the lowest polymorph listed for this composition = 19.6 kJ/mol of atoms
D(E_F) = 3.4 states/eV/f.u.
Calculated formation energy = -0.039 eV per atom